[1]
VASP calculation (PBE) on a geometry-optimized LiAcAl2 structure.

```
data_LiAcAl2
_cell_length_a 4.5048
_cell_length_b 4.5048
_cell_length_c 4.9405
_cell_angle_alpha 90.00
_cell_angle_beta 90.00
_cell_angle_gamma 90.00
_space_group_name_H-M_alt 'P 4/m m m'
_space_group_IT_number 123
_space_group_name_Hall '-P 4 2'
loop_
_atom_site_label
_atom_site_type_symbol
_atom_site_fract_x
_atom_site_fract_y
_atom_site_fract_z
Li1 Li 0.0000 0.0000 0.0000
Ac1 Ac 0.5000 0.5000 0.0000
Al1 Al 0.0000 0.5000 0.5000
```

Output
Volume: 25.1 A^3/atom
Relative energy among the computed polymorphs: 0.263 eV/atom
Crystal system: tetragonal
Calculated formation energy: -0.019 eV/atom



[2]
VASP calculation (PBE) on a geometry-optimized HgMoRu4 structure.

```
data_HgMoRu4
_cell_length_a 7.2410
_cell_length_b 7.2410
_cell_length_c 7.2410
_cell_angle_alpha 90.00
_cell_angle_beta 90.00
_cell_angle_gamma 90.00
_space_group_name_H-M_alt 'F -4 3 m'
_space_group_IT_number 216
_space_group_name_Hall 'F -4 2 3'
loop_
_atom_site_label
_atom_site_type_symbol
_atom_site_fract_x
_atom_site_fract_y
_atom_site_fract_z
Hg1 Hg 0.0000 0.0000 0.0000
Mo1 Mo 0.2500 0.2500 0.2500
Ru1 Ru 0.1251 0.1251 0.6251
```

Output
Volume: 15.8 A^3/atom
Crystal system: cubic
Calculated formation energy: 0.499 eV/atom



[3]
VASP calculation (PBE) on a geometry-optimized LiPm3Si6Ni2 structure.

```
data_LiPm3Si6Ni2
_cell_length_a 5.8751
_cell_length_b 5.8751
_cell_length_c 7.8951
_cell_angle_alpha 90.00
_cell_angle_beta 90.00
_cell_angle_gamma 120.00
_space_group_name_H-M_alt 'P -3 m 1'
_space_group_IT_number 164
_space_group_name_Hall '-P 3 2"'
loop_
_atom_site_label
_atom_site_type_symbol
_atom_site_fract_x
_atom_site_fract_y
_atom_site_fract_z
Li1 Li 0.0000 0.0000 0.0000
Pm1 Pm 0.0000 0.0000 0.5000
Pm2 Pm 0.3333 0.6667 0.1262
Si1 Si 0.1959 0.3918 0.7794
Ni1 Ni 0.3333 0.6667 0.5448
```

Output
Volume: 19.7 A^3/atom
Formation energy from raw total energies: -0.31 eV/atom
Crystal system: trigonal



[4]
VASP calculation (PBE) on a geometry-optimized LiYGe2 structure.

```
data_LiYGe2
_cell_length_a 4.2167
_cell_length_b 4.2167
_cell_length_c 15.0481
_cell_angle_alpha 90.00
_cell_angle_beta 90.00
_cell_angle_gamma 120.00
_space_group_name_H-M_alt 'R -3 m'
_space_group_IT_number 166
_space_group_name_Hall '-R 3 2"'
loop_
_atom_site_label
_atom_site_type_symbol
_atom_site_fract_x
_atom_site_fract_y
_atom_site_fract_z
Li1 Li 0.0000 0.0000 0.0000
Y1 Y 0.0000 0.0000 0.5000
Ge1 Ge 0.0000 0.0000 0.2818
```

Output
Volume: 19.3 A^3/atom
Relative energy among the computed polymorphs: 0.138 eV/atom
Crystal system: trigonal
Calculated formation energy: -0.492 eV/atom



[5]
VASP calculation (PBE) on a geometry-optimized CeNd8N6 structure.

```
data_CeNd8N6
_cell_length_a 6.3222
_cell_length_b 6.3222
_cell_length_c 27.8442
_cell_angle_alpha 90.00
_cell_angle_beta 90.00
_cell_angle_gamma 120.00
_space_group_name_H-M_alt 'R -3'
_space_group_IT_number 148
_space_group_name_Hall '-R 3'
loop_
_atom_site_label
_atom_site_type_symbol
_atom_site_fract_x
_atom_site_fract_y
_atom_site_fract_z
Ce1 Ce 0.0000 0.0000 0.0000
Nd1 Nd 0.0000 0.0000 0.3334
Nd2 Nd 0.0001 0.3368 0.8984
N1 N 0.0002 0.3244 0.0554
```

Output
Volume: 21.4 A^3/atom
Formation energy from raw total energies: -1.10 eV/atom
Crystal system: trigonal



[6]
VASP calculation (PBE) on a geometry-optimized KMn2Ag structure.

```
data_KMn2Ag
_cell_length_a 5.0897
_cell_length_b 5.0897
_cell_length_c 3.2893
_cell_angle_alpha 90.00
_cell_angle_beta 90.00
_cell_angle_gamma 90.00
_space_group_name_H-M_alt 'P 4/m m m'
_space_group_IT_number 123
_space_group_name_Hall '-P 4 2'
loop_
_atom_site_label
_atom_site_type_symbol
_atom_site_fract_x
_atom_site_fract_y
_atom_site_fract_z
K1 K 0.0000 0.0000 0.0000
Mn1 Mn 0.0000 0.5000 0.5000
Ag1 Ag 0.5000 0.5000 0.0000
```

Output
Volume: 21.3 A^3/atom
Relative energy among the computed polymorphs: 0.424 eV/atom
Crystal system: tetragonal
Calculated formation energy: 1.028 eV/atom



[7]
VASP calculation (PBE) on a geometry-optimized Pr6Nd2Ag structure.

```
data_Pr6Nd2Ag
_cell_length_a 10.4453
_cell_length_b 10.4769
_cell_length_c 5.5687
_cell_angle_alpha 90.00
_cell_angle_beta 90.00
_cell_angle_gamma 90.00
_space_group_name_H-M_alt 'P n n m'
_space_group_IT_number 58
loop_
_space_group_symop_operation_xyz
'x,y,z'
'-x,-y,-z'
'-x,-y,z'
'x,y,-z'
'x+1/2,-y+1/2,-z+1/2'
'-x+1/2,y+1/2,z+1/2'
'-x+1/2,y+1/2,-z+1/2'
'x+1/2,-y+1/2,z+1/2'
loop_
_atom_site_label
_atom_site_type_symbol
_atom_site_fract_x
_atom_site_fract_y
_atom_site_fract_z
Pr1 Pr 0.0377 0.1862 0.0000
Pr2 Pr 0.1247 0.6201 0.5000
Pr3 Pr 0.1859 0.9552 0.5000
Nd1 Nd 0.2142 0.2787 0.5000
Ag1 Ag 0.0000 0.5000 0.0000
```

Output
Volume: 33.9 A^3/atom
Crystal system: orthorhombic
Calculated formation energy: 0.014 eV/atom



[8]
VASP calculation (PBE) on a geometry-optimized Ac6Si2Te3Se structure.

```
data_Ac6Si2Te3Se
_cell_length_a 20.4457
_cell_length_b 4.6206
_cell_length_c 9.3979
_cell_angle_alpha 90.00
_cell_angle_beta 104.72
_cell_angle_gamma 90.00
_space_group_name_H-M_alt 'C 1 2/m 1'
_space_group_IT_number 12
loop_
_space_group_symop_operation_xyz
'x,y,z'
'-x,-y,-z'
'-x,y,-z'
'x,-y,z'
'x+1/2,y+1/2,z'
'-x+1/2,-y+1/2,-z'
'-x+1/2,y+1/2,-z'
'x+1/2,-y+1/2,z'
loop_
_atom_site_label
_atom_site_type_symbol
_atom_site_fract_x
_atom_site_fract_y
_atom_site_fract_z
Ac1 Ac 0.0089 0.0000 0.2444
Ac2 Ac 0.1650 0.5000 0.1037
Ac3 Ac 0.1732 0.5000 0.5670
Si1 Si 0.1653 0.0000 0.3296
Te1 Te 0.0000 0.5000 0.5000
Te2 Te 0.1640 0.0000 0.8336
Se1 Se 0.0000 0.5000 0.0000
```

Output
Volume: 35.8 A^3/atom
Formation energy from raw total energies: -1.33 eV/atom
Crystal system: monoclinic



[9]
VASP calculation (PBE) on a geometry-optimized ZrBeNi2 structure.

```
data_ZrBeNi2
_cell_length_a 4.9121
_cell_length_b 6.5057
_cell_length_c 3.4017
_cell_angle_alpha 90.00
_cell_angle_beta 90.00
_cell_angle_gamma 90.00
_space_group_name_H-M_alt 'C m m m'
_space_group_IT_number 65
_space_group_name_Hall '-C 2 2'
loop_
_atom_site_label
_atom_site_type_symbol
_atom_site_fract_x
_atom_site_fract_y
_atom_site_fract_z
Zr1 Zr 0.0000 0.0000 0.0000
Be1 Be 0.0000 0.5000 0.0000
Ni1 Ni 0.0000 0.3111 0.5000
```

Output
Volume: 13.6 A^3/atom
Relative energy among the computed polymorphs: 0.408 eV/atom
Crystal system: orthorhombic
Calculated formation energy: -0.034 eV/atom



[10]
VASP calculation (PBE) on a geometry-optimized LiTmRhF6 structure.

```
data_LiTmRhF6
_cell_length_a 5.4465
_cell_length_b 5.4465
_cell_length_c 9.3107
_cell_angle_alpha 90.00
_cell_angle_beta 90.00
_cell_angle_gamma 120.00
_space_group_name_H-M_alt 'P -3 1 c'
_space_group_IT_number 163
_space_group_name_Hall '-P 3 2c'
loop_
_atom_site_label
_atom_site_type_symbol
_atom_site_fract_x
_atom_site_fract_y
_atom_site_fract_z
Li1 Li 0.0000 0.0000 0.0000
Tm1 Tm 0.3333 0.6667 0.2500
Rh1 Rh 0.3333 0.6667 0.7500
F1 F 0.0006 0.3287 0.1249
```

Output
Volume: 13.3 A^3/atom
Formation energy from raw total energies: -2.75 eV/atom
Crystal system: trigonal



[11]
VASP calculation (PBE) on a geometry-optimized Rb2BiPt structure.

```
data_Rb2BiPt
_cell_length_a 10.6390
_cell_length_b 6.1659
_cell_length_c 5.1732
_cell_angle_alpha 90.00
_cell_angle_beta 90.15
_cell_angle_gamma 90.00
_space_group_name_H-M_alt 'C 1 2 1'
_space_group_IT_number 5
loop_
_space_group_symop_operation_xyz
'x,y,z'
'-x,y,-z'
'x+1/2,y+1/2,z'
'-x+1/2,y+1/2,-z'
loop_
_atom_site_label
_atom_site_type_symbol
_atom_site_fract_x
_atom_site_fract_y
_atom_site_fract_z
Rb1 Rb 0.1669 0.0000 0.3229
Bi1 Bi 0.0000 0.5169 0.0000
Pt1 Pt 0.0000 0.4825 0.5000
```

Output
Volume: 42.4 A^3/atom
Crystal system: monoclinic
Calculated formation energy: -0.248 eV/atom



[12]
VASP calculation (PBE) on a geometry-optimized TbHo2U2Ru5 structure.

```
data_TbHo2U2Ru5
_cell_length_a 10.5612
_cell_length_b 10.5612
_cell_length_c 3.6206
_cell_angle_alpha 90.00
_cell_angle_beta 90.00
_cell_angle_gamma 90.00
_space_group_name_H-M_alt 'P 4/m b m'
_space_group_IT_number 127
_space_group_name_Hall '-P 4 2ab'
loop_
_atom_site_label
_atom_site_type_symbol
_atom_site_fract_x
_atom_site_fract_y
_atom_site_fract_z
Tb1 Tb 0.0000 0.0000 0.0000
Ho1 Ho 0.1742 0.3258 0.0000
U1 U 0.1342 0.6342 0.0000
Ru1 Ru 0.0000 0.5000 0.5000
Ru2 Ru 0.0547 0.7866 0.5000
```

Output
Volume: 20.2 A^3/atom
Crystal system: tetragonal
Calculated formation energy: -0.283 eV/atom



| no. | VASP energy (eV per formula unit) | M_tot (μB/atom) |
| --- | --- | --- |
| 1 | -13.6 | 0.00 |
| 2 | -45.2 | 0.00 |
| 3 | -64.0 | 0.00 |
| 4 | -19.6 | 0.00 |
| 5 | -110.5 | 0.09 |
| 6 | -18.2 | 2.08 |
| 7 | -40.9 | 0.00 |
| 8 | -64.4 | 0.00 |
| 9 | -24.0 | 0.00 |
| 10 | -49.7 | 0.11 |
| 11 | -12.8 | 0.00 |
| 12 | -85.6 | 0.00 |